[1]
The following is a PBE-GGA calculation of K4CeEr3Se8 after structural relaxation, from Alexandria via LeMat-Bulk.

The structure in CIF format:
```
data_K4CeEr3Se8
_chemical_formula_sum 'K12 Ce3 Er9 Se24'
_cell_length_a 8.4682
_cell_length_b 8.4682
_cell_length_c 23.0236
_cell_angle_alpha 90.00
_cell_angle_beta 90.00
_cell_angle_gamma 120.00
_space_group_name_H-M_alt 'R -3 m'
_space_group_IT_number 166
_space_group_name_Hall '-R 3 2"'
loop_
_atom_site_label
_atom_site_type_symbol
_atom_site_fract_x
_atom_site_fract_y
_atom_site_fract_z
K1 K 0.0000 0.0000 0.0000
K2 K 0.0000 0.5000 0.0000
Ce1 Ce 0.0000 0.0000 0.5000
Er1 Er 0.0000 0.5000 0.5000
Se1 Se 0.0000 0.0000 0.2342
Se2 Se 0.0093 0.5047 0.7648
```

***

[2]
The following is a PBE-GGA calculation of K3Ce2ErSe6 after structural relaxation, from Alexandria via LeMat-Bulk.

The structure in CIF format:
```
data_K3Ce2ErSe6
_chemical_formula_sum 'K6 Ce4 Er2 Se12'
_cell_length_a 7.478
_cell_length_b 12.953
_cell_length_c 8.065
_cell_angle_alpha 90.00
_cell_angle_beta 108.02
_cell_angle_gamma 90.00
_space_group_name_H-M_alt 'C 1 2/m 1'
_space_group_IT_number 12
_space_group_name_Hall '-C 2y'
loop_
_atom_site_label
_atom_site_type_symbol
_atom_site_fract_x
_atom_site_fract_y
_atom_site_fract_z
K1 K 0.000 0.000 0.000
K2 K 0.000 0.332 0.000
Ce1 Ce 0.000 0.167 0.500
Er1 Er 0.000 0.500 0.500
Se1 Se 0.231 0.338 0.707
Se2 Se 0.246 0.000 0.708
```

***

[3]
The following is a PBE-GGA calculation of K3CeEr3Se8 after structural relaxation, from Alexandria via LeMat-Bulk.

The structure in CIF format:
```
data_K3CeEr3Se8
_chemical_formula_sum 'K9 Ce3 Er9 Se24'
_cell_length_a 8.3287
_cell_length_b 8.3287
_cell_length_c 23.3799
_cell_angle_alpha 90.00
_cell_angle_beta 90.00
_cell_angle_gamma 120.00
_space_group_name_H-M_alt 'R -3 m'
_space_group_IT_number 166
_space_group_name_Hall '-R 3 2"'
loop_
_atom_site_label
_atom_site_type_symbol
_atom_site_fract_x
_atom_site_fract_y
_atom_site_fract_z
K1 K 0.0000 0.5000 0.0000
Ce1 Ce 0.0000 0.0000 0.5000
Er1 Er 0.0000 0.5000 0.5000
Se1 Se 0.0000 0.0000 0.2341
Se2 Se 0.0021 0.5011 0.7665
```

***

Sequential E_form (uncorrected) output: -1.734, -1.707, -1.731 eV per atom